A relaxed VSe3O crystal. Source: Alexandria via LeMat-Bulk, functional GGA+U.

* distance to the lowest polymorph of the same formula: 0.00 kcal/mol of atoms
* M_tot: 0.490 μB per atom
* crystal system: cubic

a b c (Å): 4.4889 4.4889 4.4889
angles (deg): 90.00 90.00 90.00
Last column: nearest neighbours and their distance in Å.
Space group Pm-3m (No. 221)
Symmetry-distinct sites (fractional):
V  0.0000  0.0000  0.0000  12 Se 3.17
Se  0.0000  0.5000  0.5000  2 O 2.24
O  0.5000  0.5000  0.5000  6 Se 2.24